Entry from Alexandria via LeMat-Bulk: a relaxed Ce6TlGe crystal (GGA-PBE).

Output
Final energy ... -44.688 eV/f.u.
Energy of formation from the pure elements ... -263 meV per atom

a = 4.7182 Å, b = 4.7182 Å, c = 9.4032 Å
α = 90.00°, β = 90.00°, γ = 90.00°
With the nearest neighbours (Å) after each atom.
Fractional coordinates of all 8 atoms:
1 Ce 0.0000 0.0000 0.0000  8 Ce 3.23, 4 Ge 3.34
2 Ce 0.0000 0.0000 0.5000  4 Tl 3.34, 8 Ce 3.43
3 Ce 0.0000 0.5000 0.2346  2 Ge 3.23, 8 Ce 3.23-3.43, 2 Tl 3.43
4 Ce 0.0000 0.5000 0.7654  2 Ge 3.23, 8 Ce 3.23-3.43, 2 Tl 3.43
5 Ce 0.5000 0.0000 0.2346  2 Ge 3.23, 8 Ce 3.23-3.43, 2 Tl 3.43
6 Ce 0.5000 0.0000 0.7654  2 Ge 3.23, 8 Ce 3.23-3.43, 2 Tl 3.43
7 Tl 0.5000 0.5000 0.5000  12 Ce 3.34-3.43
8 Ge 0.5000 0.5000 0.0000  12 Ce 3.23-3.34